DFT (PBE) results for a geometry-optimized InSb2As structure.

## Properties
The value obtained for the magnetization is 0.00 μB per formula unit. The value obtained for the energy relative to the elements, uncorrected is 15.2 kJ/mol of atoms.

abc: 5.2046 3.1143 6.5314
angles: 89.99 90.00 90.00
With the nearest neighbours (Å) after each atom.
Fractional coordinates of all 4 atoms:
Sb (0.0000, 0.2496, 0.4870)  2 As 3.03, 3 Sb 3.10-3.11
Sb (0.0000, 0.2504, 0.0130)  2 As 3.03, 3 Sb 3.10-3.11
In (0.5000, 0.7500, 0.7500)  2 In 3.11, 8 Sb 3.48-3.49
As (0.5000, 0.2500, 0.2500)  4 Sb 3.03, 2 As 3.11


DFT (PBE) results for a geometry-optimized In2SbAs structure.

## Properties
The value obtained for the magnetization is 0.00 μB per formula unit. The value obtained for the energy relative to the elements, uncorrected is 13.8 kJ/mol of atoms.

abc: 3.6887 3.6887 7.3607
angles: 90.00 90.00 90.00
With the nearest neighbours (Å) after each atom.
Fractional coordinates of all 4 atoms:
In (0.0000, 0.0000, 0.5267)  4 As 3.08, 1 In 3.29, 4 Sb 3.31
In (0.0000, 0.0000, 0.9733)  4 As 3.08, 1 In 3.29, 4 Sb 3.31
Sb (0.5000, 0.5000, 0.2500)  8 In 3.31, 2 As 3.68, 4 Sb 3.69
As (0.5000, 0.5000, 0.7500)  8 In 3.08


Energy above the most stable polymorph in this dataset for every record listed, in sequence, given in meV/atom: 127 315.
Electronic total energy for every record listed, in sequence, given in eV per atom: -3.75 -3.42.
Calculated density for every record listed, in sequence, given in g/cm3: 6.8 7.1.